VASP calculation (PBE with a Hubbard U) on an optimized crystal structure of MnHPdNO.

Cell: 3.7710 3.3569 5.9044 Å, 89.78 61.32 90.04°
Sites, in units of the cell vectors:
H: 0.8966 0.1696 0.3014
N: 0.9954 0.6735 0.8542
Mn: 0.4035 0.6721 0.9717
Pd: 0.1366 0.1752 0.6474
O: 0.1931 0.1705 0.2254

distance to the lowest polymorph of the same formula: 74 meV per atom
uncorrected energy: -6.14 eV/atom